No. 1
Sc2CdBRu, relaxed, DFT PBE; Fermi-level density of states = 3.794 states/eV/f.u.; formation energy = -1.77 eV per formula unit; symmetry = No. 123
1.0
4.729 0.000 0.000
0.000 4.729 0.000
0.000 0.000 3.981
B Ru Sc Cd
1 1 2 1
direct
0.000 0.000 0.000 B
0.000 0.000 0.500 Ru
0.500 0.000 0.000 Sc
0.000 0.500 0.000 Sc
0.500 0.500 0.500 Cd

---

No. 2
Y3Cd2BRu3, relaxed, DFT PBE; Fermi-level density of states = 7.934 states/eV/f.u.; formation energy = -2.06 eV per formula unit; symmetry = No. 189
1.0
-0.431 -3.430 0.156
6.387 -0.617 4.077
-6.669 0.998 3.511
Y Ru B Cd
3 3 1 2
direct
0.000 0.000 0.343 Y
0.000 0.343 0.000 Y
0.000 0.657 0.657 Y
0.500 0.784 0.000 Ru
0.500 0.000 0.784 Ru
0.500 0.216 0.216 Ru
0.000 0.000 0.000 B
0.500 0.333 0.667 Cd
0.500 0.667 0.333 Cd

---

No. 3
CdB2S4, relaxed, DFT PBE; symmetry = No. 87; formation energy from raw total energies = -0.4123 eV per atom
1.0
-0.457 5.576 -0.689
-1.491 -3.866 -3.822
-3.635 -0.993 4.193
S B Cd
4 2 1
direct
0.362 0.148 0.509 S
0.852 0.362 0.214 S
0.638 0.852 0.491 S
0.148 0.638 0.786 S
0.250 0.750 0.500 B
0.750 0.250 0.500 B
0.500 0.500 0.000 Cd